# CdPtNF2

A relaxed CdPtNF2 crystal (PBE, Alexandria).

Output
- Formation energy from raw total energies: -0.238 eV/atom
- Density: 7.512 g/cm3
- Space group: P4/mmm (123)
- ΔE to the lowest computed polymorph: 0.0 kJ per mole of atoms
- Total moment: 0.000 μB/atom

a b c (Å): 4.6517 4.6517 3.6727
angles (deg): 90.00 90.00 90.00
Closest atoms and distances in Å follow each position.
Fractional positions:
Pt  0.0000  0.0000  0.0000  2 N 1.84
F  0.5000  0.0000  0.0000  2 Pt 2.33
F  0.0000  0.5000  0.0000  2 Pt 2.33
N  0.0000  0.0000  0.5000  2 Pt 1.84
Cd  0.5000  0.5000  0.5000  8 F 2.96, 4 N 3.29


# Th2UNi9

A relaxed Th2UNi9 crystal (PBE, Alexandria).

Output
- Density: 11.454 g/cm3
- Formation enthalpy at 0 K: -3.851 eV/f.u.
- Space group: R-3m (166)
- Total moment: 0.141 μB/atom

a b c (Å): 4.9580 4.9580 8.8543
angles (deg): 73.74 73.74 60.00
Closest atoms and distances in Å follow each position.
Fractional positions:
Ni  0.9200  0.4194  0.2413  7 Ni 2.47-2.60
Ni  0.3331  0.3331  0.0008  6 Ni 2.47-2.48
Ni  0.4194  0.9200  0.2413  7 Ni 2.47-2.60
Ni  0.4194  0.4194  0.2413  7 Ni 2.47-2.60
Ni  0.0800  0.5806  0.7587  7 Ni 2.47-2.60
Ni  0.5000  0.5000  0.5000  6 Ni 2.60
Ni  0.5806  0.5806  0.7587  7 Ni 2.47-2.60
Ni  0.5806  0.0800  0.7587  7 Ni 2.47-2.60
Ni  0.6669  0.6669  0.9992  6 Ni 2.47-2.48
U  0.0000  0.0000  0.0000  18 Ni 2.86-3.20
Th  0.8647  0.8647  0.4059  9 Ni 2.84-2.97
Th  0.1353  0.1353  0.5941  9 Ni 2.84-2.97


# SiPH18C6INCl

A relaxed SiPH18C6INCl crystal (PBE, Alexandria).

Output
- Density: 1.403 g/cm3
- E: -584.28 eV per cell
- Space group: Iba2 (45)
- Total moment: 0.000 μB/atom

a b c (Å): 10.6837 13.2475 13.2476
angles (deg): 71.28 66.22 66.22
Closest atoms and distances in Å follow each position.
Fractional positions:
H  0.4034  0.6661  0.5331  1 C 1.10
H  0.5645  0.2307  0.7489  1 C 1.10
H  0.2699  0.8569  0.0998  1 C 1.10
H  0.2963  0.2020  0.0960  1 C 1.10
H  0.3718  0.2577  0.9505  1 C 1.10
H  0.7265  0.9004  0.1430  1 C 1.10
H  0.8201  0.4830  0.8103  1 C 1.10
H  0.7335  0.7220  0.2303  1 C 1.10
H  0.1736  0.9507  0.6503  1 C 1.10
H  0.0941  0.9039  0.7980  1 C 1.10
H  0.8256  0.4164  0.4791  1 C 1.10
H  0.0441  0.2511  0.7694  1 C 1.10
H  0.8038  0.9511  0.8988  1 C 1.10
H  0.1290  0.3145  0.6318  1 C 1.10
H  0.8770  0.6036  0.7703  1 C 1.10
H  0.0026  0.2361  0.1989  1 C 1.10
H  0.3038  0.8988  0.9511  1 C 1.10
H  0.4595  0.1627  0.3860  1 C 1.10
H  0.6026  0.3337  0.4669  1 C 1.10
H  0.7215  0.5836  0.5206  1 C 1.10
H  0.0342  0.1717  0.9656  1 C 1.10
H  0.6536  0.0491  0.1012  1 C 1.10
H  0.8733  0.3186  0.1251  1 C 1.10
H  0.1857  0.7696  0.2782  1 C 1.10
H  0.2265  0.1430  0.9004  1 C 1.10
H  0.9372  0.8012  0.7640  1 C 1.10
H  0.3770  0.7703  0.6036  1 C 1.10
H  0.2335  0.2303  0.7220  1 C 1.10
H  0.7963  0.0960  0.2020  1 C 1.10
H  0.0646  0.7489  0.2307  1 C 1.10
H  0.6857  0.2782  0.7696  1 C 1.10
H  0.3366  0.4345  0.6661  1 C 1.10
H  0.9595  0.3860  0.1627  1 C 1.10
H  0.2215  0.5206  0.5836  1 C 1.10
H  0.9370  0.3341  0.5653  1 C 1.10
H  0.5441  0.7694  0.2511  1 C 1.10
H  0.1536  0.1013  0.0490  1 C 1.10
H  0.5753  0.3683  0.6853  1 C 1.10
H  0.5026  0.1989  0.2360  1 C 1.10
H  0.1134  0.5170  0.1895  1 C 1.10
H  0.3256  0.4791  0.4164  1 C 1.10
H  0.7150  0.6972  0.5679  1 C 1.10
H  0.5800  0.7423  0.0494  1 C 1.10
H  0.9801  0.3028  0.4320  1 C 1.10
H  0.3201  0.8103  0.4831  1 C 1.10
H  0.0076  0.8374  0.6140  1 C 1.10
H  0.2150  0.5679  0.6973  1 C 1.10
H  0.7699  0.0998  0.8570  1 C 1.10
H  0.0753  0.6853  0.3683  1 C 1.10
H  0.2508  0.3964  0.2296  1 C 1.10
H  0.3733  0.1251  0.3186  1 C 1.10
H  0.5342  0.9656  0.1717  1 C 1.10
H  0.6714  0.0345  0.8284  1 C 1.10
H  0.5941  0.7980  0.9039  1 C 1.10
H  0.3165  0.6817  0.8751  1 C 1.10
H  0.5076  0.6140  0.8374  1 C 1.10
H  0.6290  0.6318  0.3145  1 C 1.10
H  0.4801  0.4320  0.3027  1 C 1.10
H  0.6736  0.6503  0.9507  1 C 1.10
H  0.6134  0.1895  0.5170  1 C 1.10
H  0.4372  0.7640  0.8012  1 C 1.10
H  0.2748  0.3497  0.0492  1 C 1.10
H  0.0800  0.0494  0.7423  1 C 1.10
H  0.7748  0.0492  0.3497  1 C 1.10
H  0.9034  0.5331  0.6662  1 C 1.10
H  0.1715  0.8283  0.0345  1 C 1.10
H  0.1026  0.4669  0.3337  1 C 1.10
H  0.4370  0.5653  0.3341  1 C 1.10
H  0.8718  0.9505  0.2577  1 C 1.10
H  0.7508  0.2296  0.3964  1 C 1.10
H  0.8165  0.8751  0.6817  1 C 1.10
H  0.8366  0.6661  0.4345  1 C 1.10
C  0.9200  0.8644  0.6892  3 H 1.10
C  0.4200  0.6891  0.8645  3 H 1.10
C  0.2753  0.8343  0.0250  3 H 1.10
C  0.6278  0.7198  0.2916  3 H 1.10
C  0.1278  0.2916  0.7198  3 H 1.10
C  0.7753  0.0250  0.8344  3 H 1.10
C  0.9046  0.5205  0.7521  3 H 1.10
C  0.0822  0.9726  0.7256  3 H 1.10
C  0.1392  0.7082  0.2803  3 H 1.10
C  0.7280  0.6695  0.4935  3 H 1.10
C  0.2806  0.2744  0.0273  3 H 1.10
C  0.4738  0.1356  0.3109  3 H 1.10
C  0.5822  0.7256  0.9726  3 H 1.10
C  0.6346  0.9751  0.1657  3 H 1.10
C  0.1771  0.4794  0.2478  3 H 1.10
C  0.6771  0.2478  0.4795  3 H 1.10
C  0.9738  0.3110  0.1356  3 H 1.10
C  0.4046  0.7521  0.5205  3 H 1.10
C  0.8909  0.3306  0.5063  3 H 1.10
C  0.6392  0.2803  0.7083  3 H 1.10
C  0.2280  0.4935  0.6695  3 H 1.10
C  0.7806  0.0273  0.2744  3 H 1.10
C  0.1346  0.1657  0.9751  3 H 1.10
C  0.3909  0.5063  0.3306  3 H 1.10
N  0.5815  0.9050  0.4037  1 P 1.62, 1 Si 1.77
N  0.0815  0.4038  0.9050  1 P 1.62, 1 Si 1.77
N  0.3902  0.5962  0.0951  1 P 1.62, 1 Si 1.77
N  0.8902  0.0951  0.5963  1 P 1.62, 1 Si 1.77
I  0.5569  0.4308  0.0458  1 N 2.29
I  0.0334  0.5692  0.9542  1 N 2.29
I  0.5334  0.9542  0.5692  1 N 2.29
I  0.0569  0.0458  0.4308  1 N 2.29
P  0.4150  0.7038  0.9971  1 N 1.62, 3 C 1.80-1.81
P  0.9150  0.9971  0.7038  1 N 1.62, 3 C 1.80-1.81
P  0.1161  0.2962  0.0029  1 N 1.62, 3 C 1.80-1.81
P  0.6161  0.0029  0.2962  1 N 1.62, 3 C 1.80-1.81
Cl  0.7451  0.2379  0.9930  1 I 2.63, 4 H 2.75-2.92
Cl  0.4760  0.0069  0.7622  1 I 2.63, 4 H 2.75-2.92
Cl  0.9760  0.7622  0.0069  1 I 2.63, 4 H 2.75-2.92
Cl  0.2451  0.9930  0.2378  1 I 2.63, 4 H 2.75-2.92
Si  0.5859  0.7650  0.4257  1 N 1.77, 3 C 1.88
Si  0.0859  0.4257  0.7650  1 N 1.77, 3 C 1.88
Si  0.2766  0.5743  0.2350  1 N 1.77, 3 C 1.88
Si  0.7765  0.2350  0.5743  1 N 1.77, 3 C 1.88


# AlCuReTc

A relaxed AlCuReTc crystal (PBE, Alexandria).

Output
- Density: 11.113 g/cm3
- Formation enthalpy at 0 K: -0.214 eV/f.u.
- Space group: F-43m (216)
- Total moment: 0.000 μB/atom

a b c (Å): 4.2942 4.2942 4.2942
angles (deg): 60.00 60.00 60.00
Closest atoms and distances in Å follow each position.
Fractional positions:
Re  0.7500  0.7500  0.7500  4 Tc 2.63, 4 Al 2.63
Tc  0.0000  0.0000  0.0000  4 Re 2.63, 4 Cu 2.63
Al  0.5000  0.5000  0.5000  4 Re 2.63, 4 Cu 2.63
Cu  0.2500  0.2500  0.2500  4 Al 2.63, 4 Tc 2.63